No. 1
An optimized crystal structure of CeGdRh4, computed with PBE.

The formation energy comes out at -706 meV/atom. The density of states at the Fermi level is 1.122 states/eV per atom. Its size of the total moment is 28.80 μB/cell. For the total energy, the calculation gives -8.94 eV/atom.

It has space group F-43m (No. 216), with a = 7.581 Å, b = 7.581 Å, c = 7.581 Å, α = 90.00°, β = 90.00° and γ = 90.00°. The distinct sites, in fractional coordinates, are Ce at (0.000, 0.000, 0.000), Gd at (0.250, 0.250, 0.250) and Rh at (0.125, 0.125, 0.625).



No. 2
An optimized crystal structure of CeGdTlRh, computed with PBE.

The formation energy comes out at -365 meV/atom. The density of states at the Fermi level is 1.926 states/eV per atom. Its size of the total moment is 30.89 μB/cell. For the total energy, the calculation gives -7.80 eV/atom.

It has space group F-43m (No. 216), with a = 7.353 Å, b = 7.353 Å, c = 7.353 Å, α = 90.00°, β = 90.00° and γ = 90.00°. The distinct sites, in fractional coordinates, are Ce at (0.000, 0.000, 0.000), Gd at (0.000, 0.000, 0.500), Tl at (0.250, 0.250, 0.250) and Rh at (0.250, 0.250, 0.750).



No. 3
An optimized crystal structure of CeGdZnRh, computed with PBE.

The formation energy comes out at -472 meV/atom. The density of states at the Fermi level is 1.636 states/eV per atom. Its size of the total moment is 30.73 μB/cell. For the total energy, the calculation gives -7.63 eV/atom.

It has space group F-43m (No. 216), with a = 7.086 Å, b = 7.086 Å, c = 7.086 Å, α = 90.00°, β = 90.00° and γ = 90.00°. The distinct sites, in fractional coordinates, are Ce at (0.000, 0.000, 0.000), Gd at (0.000, 0.000, 0.500), Zn at (0.250, 0.250, 0.750) and Rh at (0.250, 0.250, 0.250).



No. 4
An optimized crystal structure of CeGdRu4, computed with PBE.

The formation energy comes out at -263 meV/atom. The density of states at the Fermi level is 0.802 states/eV per atom. Its size of the total moment is 27.69 μB/cell. For the total energy, the calculation gives -9.78 eV/atom.

It has space group F-43m (No. 216), with a = 7.585 Å, b = 7.585 Å, c = 7.585 Å, α = 90.00°, β = 90.00° and γ = 90.00°. The distinct sites, in fractional coordinates, are Ce at (0.000, 0.000, 0.000), Gd at (0.250, 0.250, 0.250) and Ru at (0.125, 0.125, 0.625).



No. 5
An optimized crystal structure of CeGd2Ru, computed with PBE.

The formation energy comes out at -106 meV/atom. The density of states at the Fermi level is 2.176 states/eV per atom. Its size of the total moment is 12.63 μB/cell. For the total energy, the calculation gives -10.95 eV/atom.

It has space group P4/mmm (No. 123), with a = 3.438 Å, b = 3.438 Å, c = 9.043 Å, α = 90.00°, β = 90.00° and γ = 90.00°. The distinct sites, in fractional coordinates, are Ce at (0.000, 0.000, 0.000), Gd at (0.500, 0.500, 0.315) and Ru at (0.000, 0.000, 0.500).



No. 6
An optimized crystal structure of Ce3GdRu, computed with PBE.

The formation energy comes out at 12 meV/atom. The density of states at the Fermi level is 3.742 states/eV per atom. Its size of the total moment is 10.60 μB/cell. For the total energy, the calculation gives -8.22 eV/atom.

It has space group Pm-3m (No. 221), with a = 5.408 Å, b = 5.408 Å, c = 5.408 Å, α = 90.00°, β = 90.00° and γ = 90.00°. The distinct sites, in fractional coordinates, are Ce at (0.000, 0.000, 0.500), Gd at (0.500, 0.500, 0.500) and Ru at (0.000, 0.000, 0.000).



No. 7
An optimized crystal structure of Ce2GdRu, computed with PBE.

The formation energy comes out at 43 meV/atom. The energy above the most stable polymorph in this dataset comes out at 0.136 eV per atom. The density of states at the Fermi level is 2.068 states/eV per atom. Its size of the total moment is 26.58 μB/cell. For the total energy, the calculation gives -8.76 eV/atom.

It has space group R-3m (No. 166, hexagonal axes), with a = 4.7553 Å, b = 4.7553 Å, c = 14.9255 Å, α = 90.00°, β = 90.00° and γ = 120.00°. The distinct sites, in fractional coordinates, are Ce at (0.0000, 0.0000, 0.2371), Gd at (0.0000, 0.0000, 0.0000) and Ru at (0.0000, 0.0000, 0.5000).



No. 8
An optimized crystal structure of Ce2GdRu, computed with PBE.

The formation energy comes out at -93 meV/atom. The energy above the most stable polymorph in this dataset comes out at 0.000 eV per atom. The density of states at the Fermi level is 2.038 states/eV per atom. Its size of the total moment is 9.40 μB/cell. For the total energy, the calculation gives -8.90 eV/atom.

It has space group P4/mmm (No. 123), with a = 3.575 Å, b = 3.575 Å, c = 8.145 Å, α = 90.00°, β = 90.00° and γ = 90.00°. The distinct sites, in fractional coordinates, are Ce at (0.000, 0.000, 0.190), Gd at (0.500, 0.500, 0.500) and Ru at (0.500, 0.500, 0.000).



No. 9
An optimized crystal structure of CeGdZnRu, computed with PBE.

The formation energy comes out at -281 meV/atom. The density of states at the Fermi level is 1.058 states/eV per atom. Its size of the total moment is 27.75 μB/cell. For the total energy, the calculation gives -7.92 eV/atom.

It has space group F-43m (No. 216), with a = 7.034 Å, b = 7.034 Å, c = 7.034 Å, α = 90.00°, β = 90.00° and γ = 90.00°. The distinct sites, in fractional coordinates, are Ce at (0.000, 0.000, 0.000), Gd at (0.000, 0.000, 0.500), Zn at (0.250, 0.250, 0.250) and Ru at (0.250, 0.250, 0.750).



No. 10
An optimized crystal structure of CeGdS2, computed with PBE.

The density of states at the Fermi level is 1.568 states/eV per atom. Its size of the total moment is 22.50 μB/cell. For the total energy, the calculation gives -9.12 eV/atom.

It has space group R-3m (No. 166, hexagonal axes), with a = 3.9845 Å, b = 3.9845 Å, c = 19.6510 Å, α = 90.00°, β = 90.00° and γ = 120.00°. The distinct sites, in fractional coordinates, are Ce at (0.0000, 0.0000, 0.0000), Gd at (0.0000, 0.0000, 0.5000) and S at (0.0000, 0.0000, 0.2476).



No. 11
An optimized crystal structure of Ce2GdSb, computed with PBE.

The energy above the most stable polymorph in this dataset comes out at 0.244 eV per atom. The density of states at the Fermi level is 2.895 states/eV per atom. Its size of the total moment is 39.72 μB/cell. For the total energy, the calculation gives -7.80 eV/atom.

It has space group Fm-3m (No. 225), with a = 7.699 Å, b = 7.699 Å, c = 7.699 Å, α = 90.00°, β = 90.00° and γ = 90.00°. The distinct sites, in fractional coordinates, are Ce at (0.250, 0.250, 0.250), Gd at (0.000, 0.000, 0.000) and Sb at (0.000, 0.000, 0.500).



No. 12
An optimized crystal structure of CeGdSb2, computed with PBE.

The energy above the most stable polymorph in this dataset comes out at 0.000 eV per atom. The density of states at the Fermi level is 2.258 states/eV per atom. Its size of the total moment is 23.54 μB/cell. For the total energy, the calculation gives -8.17 eV/atom.

It has space group R-3m (No. 166, hexagonal axes), with a = 4.4579 Å, b = 4.4579 Å, c = 21.8938 Å, α = 90.00°, β = 90.00° and γ = 120.00°. The distinct sites, in fractional coordinates, are Ce at (0.0000, 0.0000, 0.0000), Gd at (0.0000, 0.0000, 0.5000) and Sb at (0.0000, 0.0000, 0.2485).